! meta-GGA SCAN MgZnCd2, single point on PBEsol structure; values from VASP
&SYSTEM
  ibrav = 0, nat = 4, ntyp = 3
/
ATOMIC_SPECIES
Cd 112.41 Cd.upf
Zn 65.41 Zn.upf
Mg 24.30 Mg.upf
CELL_PARAMETERS angstrom
3.121 0.000 0.000
0.000 5.140 -0.020
0.000 -1.697 4.852
ATOMIC_POSITIONS angstrom
Cd 0.000 -0.848 2.426
Cd 0.000 2.570 -0.010
Zn 1.560 1.721 2.416
Mg 1.560 0.000 0.000
! DFT formation energy   -6 meV per atom
! Magnetic moment   0.00 μB per formula unit
! Relative energy among the computed polymorphs   36 meV per atom

=====

! meta-GGA SCAN ScTa2Os, single point on PBEsol structure; values from VASP
&SYSTEM
  ibrav = 0, nat = 4, ntyp = 3
/
ATOMIC_SPECIES
Sc 44.96 Sc.upf
Os 190.23 Os.upf
Ta 180.95 Ta.upf
CELL_PARAMETERS angstrom
-2.835 2.529 2.521
-4.472 -0.019 -0.888
-2.890 -2.015 2.894
ATOMIC_POSITIONS angstrom
Sc -2.550 0.124 1.132
Os -5.099 0.248 2.264
Ta 0.000 0.000 0.000
Ta -7.649 0.371 3.395
! DFT formation energy   -138 meV per atom
! Magnetic moment   0.00 μB per formula unit

=====

! meta-GGA SCAN YCuBr2, single point on PBEsol structure; values from VASP
&SYSTEM
  ibrav = 0, nat = 4, ntyp = 3
/
ATOMIC_SPECIES
Br 79.90 Br.upf
Cu 63.55 Cu.upf
Y 88.91 Y.upf
CELL_PARAMETERS angstrom
-1.353 2.232 -2.417
-3.305 1.254 0.391
1.198 7.162 3.325
ATOMIC_POSITIONS angstrom
Br -0.784 2.839 0.443
Br -2.676 7.809 0.857
Cu -1.730 5.324 0.650
Y 0.000 0.000 0.000
! Raw formation energy   -0.622 eV per atom
! Magnetic moment   0.00 μB per formula unit
! Relative energy among the computed polymorphs   309 meV per atom

=====

! meta-GGA SCAN TlGa3O, single point on PBEsol structure; values from VASP
&SYSTEM
  ibrav = 0, nat = 5, ntyp = 3
/
ATOMIC_SPECIES
Ga 69.72 Ga.upf
O 16.00 O.upf
Tl 204.38 Tl.upf
CELL_PARAMETERS angstrom
5.204 0.000 0.000
0.000 5.204 0.000
0.000 0.000 5.204
ATOMIC_POSITIONS angstrom
Ga 0.000 0.000 2.602
Ga 2.602 0.000 0.000
Ga 0.000 2.602 0.000
O 2.602 2.602 2.602
Tl 0.000 0.000 0.000
! Raw formation energy   0.989 eV per atom
! Magnetic moment   0.00 μB per formula unit
! Relative energy among the computed polymorphs   1025 meV per atom

=====

! meta-GGA SCAN SrAlPbBr2, single point on PBEsol structure; values from VASP
&SYSTEM
  ibrav = 0, nat = 5, ntyp = 4
/
ATOMIC_SPECIES
Br 79.90 Br.upf
Pb 207.20 Pb.upf
Al 26.98 Al.upf
Sr 87.62 Sr.upf
CELL_PARAMETERS angstrom
-4.273 -1.769 -3.140
-2.605 -1.850 4.586
-2.986 5.958 0.707
ATOMIC_POSITIONS angstrom
Br -2.136 -0.884 -1.570
Br -1.303 -0.925 2.293
Pb -1.493 2.979 0.354
Al -4.932 1.170 1.077
Sr 0.000 0.000 0.000
! Raw formation energy   -0.368 eV per atom
! Magnetic moment   0.00 μB per formula unit

=====

! meta-GGA SCAN ScOs, single point on PBEsol structure; values from VASP
&SYSTEM
  ibrav = 0, nat = 4, ntyp = 2
/
ATOMIC_SPECIES
Sc 44.96 Sc.upf
Os 190.23 Os.upf
CELL_PARAMETERS angstrom
-1.505 -2.971 2.996
-1.601 -3.951 -1.374
2.315 -3.752 0.790
ATOMIC_POSITIONS angstrom
Sc -0.395 -5.337 1.206
Sc -0.593 -8.006 1.809
Os -0.198 -2.669 0.603
Os 0.000 0.000 0.000
! DFT formation energy   -208 meV per atom
! Magnetic moment   0.00 μB per formula unit

=====

no.,electronic total energy (eV per atom)
1,-19.836
2,-54.959
3,-21.113
4,-24.537
5,-29.314
6,-43.267